This record from the Alexandria database describes a geometry-optimized V6O7F5 structure. The functional is PBE with a Hubbard U.

The structure in CIF format:
```
data_V6O7F5
_chemical_formula_sum 'V6 O7 F5'
_space_group_name_H-M_alt 'P 1'
_space_group_IT_number 1
_cell_length_a 4.719
_cell_length_b 5.596
_cell_length_c 7.803
_cell_angle_alpha 94.02
_cell_angle_beta 90.13
_cell_angle_gamma 91.72
loop_
_space_group_symop_operation_xyz
'x,y,z'
loop_
_atom_site_label
_atom_site_type_symbol
_atom_site_fract_x
_atom_site_fract_y
_atom_site_fract_z
V1 V 0.000 0.000 0.000
V2 V 0.004 0.328 0.334
V3 V 0.445 0.855 0.349
V4 V 0.479 0.525 0.995
V5 V 0.531 0.151 0.668
V6 V 0.988 0.668 0.685
O1 O 0.189 0.706 0.908
O2 O 0.190 0.050 0.231
O3 O 0.285 0.870 0.568
O4 O 0.305 0.561 0.246
O5 O 0.684 0.462 0.772
O6 O 0.692 0.115 0.422
O7 O 0.795 0.962 0.783
F1 F 0.194 0.361 0.573
F2 F 0.298 0.204 0.900
F3 F 0.690 0.817 0.113
F4 F 0.792 0.623 0.441
F5 F 0.793 0.314 0.099
```

Properties
The value obtained for the energy above the lowest structure with this stoichiometry is 7.3 meV/atom.